Version w
A relaxed structure of PmPrPdAu, computed with PBE.

Output
The density of states at the Fermi level comes out at 6.00 states/eV/cell. The total magnetization comes out at 0.0 μB per formula unit.

Structure (CIF):
```
data_PmPrPdAu
_chemical_formula_sum 'Pm2 Pr2 Pd2 Au2'
_cell_length_a 4.7657
_cell_length_b 3.9174
_cell_length_c 11.0011
_cell_angle_alpha 90.00
_cell_angle_beta 90.00
_cell_angle_gamma 90.00
_space_group_name_H-M_alt 'A m m 2'
_space_group_IT_number 38
_space_group_name_Hall 'A 2 -2'
loop_
_atom_site_label
_atom_site_type_symbol
_atom_site_fract_x
_atom_site_fract_y
_atom_site_fract_z
_atom_site_occupancy
Pm1 Pm 0.0000 0.0000 0.0000 1
Pr1 Pr 0.5000 0.0000 0.7251 1
Pd1 Pd 0.5000 0.0000 0.4493 1
Au1 Au 0.0000 0.0000 0.2804 1
```

---

Version x
A relaxed structure of PmPrPdAu, computed with PBE.

Output
The density of states at the Fermi level comes out at 12.12 states/eV/cell. The total magnetization comes out at 0.0 μB per formula unit.

Structure (CIF):
```
data_PmPrPdAu
_chemical_formula_sum 'Pm4 Pr4 Pd4 Au4'
_cell_length_a 7.3508
_cell_length_b 7.3508
_cell_length_c 7.3508
_cell_angle_alpha 90.00
_cell_angle_beta 90.00
_cell_angle_gamma 90.00
_space_group_name_H-M_alt 'F -4 3 m'
_space_group_IT_number 216
_space_group_name_Hall 'F -4 2 3'
loop_
_atom_site_label
_atom_site_type_symbol
_atom_site_fract_x
_atom_site_fract_y
_atom_site_fract_z
_atom_site_occupancy
Pm1 Pm 0.0000 0.0000 0.0000 1
Pr1 Pr 0.0000 0.0000 0.5000 1
Pd1 Pd 0.2500 0.2500 0.7500 1
Au1 Au 0.2500 0.2500 0.2500 1
```

---

Stability comparison, relative energies in eV/atom: version w 0.000; version x 0.064